Entry 1:
! K3TlF6, optimized geometry, DFT GGA-PBE; values from VASP
&SYSTEM
  ibrav = 0, nat = 10, ntyp = 3
/
ATOMIC_SPECIES
Tl 204.38 Tl.upf
K 39.10 K.upf
F 19.00 F.upf
ATOMIC_POSITIONS crystal
Tl 0.000 0.000 0.000
K 0.250 0.250 0.250
K 0.750 0.750 0.750
K 0.500 0.500 0.500
F 0.233 0.767 0.767
F 0.767 0.233 0.767
F 0.233 0.767 0.233
F 0.233 0.233 0.767
F 0.767 0.767 0.233
F 0.767 0.233 0.233
CELL_PARAMETERS angstrom
-5.200 -1.114 -3.954
-5.826 -1.781 2.610
-5.091 4.243 -0.054
! - Symmetry: Fm-3m (225)
! - ΔE_f (raw): -2.4158 eV per atom
! - Calculated density: 3.51 Mg/m³

Entry 2:
! RhSe, optimized geometry, DFT GGA-PBE; values from VASP
&SYSTEM
  ibrav = 0, nat = 4, ntyp = 2
/
ATOMIC_SPECIES
Rh 102.91 Rh.upf
Se 78.96 Se.upf
ATOMIC_POSITIONS crystal
Rh 0.000 0.000 0.000
Rh 0.250 0.250 0.250
Se 0.500 0.500 0.500
Se 0.750 0.750 0.750
CELL_PARAMETERS angstrom
4.533 0.000 0.000
2.266 3.925 0.000
2.266 1.308 3.701
! - Symmetry: Fd-3m (227)
! - ΔE_f (raw): 0.4694 eV per atom
! - Calculated density: 9.17 Mg/m³

Entry 3:
! Ac2ZrScS6, optimized geometry, DFT GGA-PBE; values from VASP
&SYSTEM
  ibrav = 0, nat = 10, ntyp = 4
/
ATOMIC_SPECIES
Ac 227.00 Ac.upf
Zr 91.22 Zr.upf
Sc 44.96 Sc.upf
S 32.06 S.upf
ATOMIC_POSITIONS crystal
Ac 0.768 0.277 0.542
Ac 0.265 0.724 0.491
Zr 0.998 0.001 0.998
Sc 0.499 0.501 0.999
S 0.727 0.855 0.081
S 0.694 0.684 0.495
S 0.227 0.146 0.872
S 0.811 0.316 0.010
S 0.313 0.302 0.499
S 0.197 0.699 0.011
CELL_PARAMETERS angstrom
6.993 -0.029 -0.020
-0.030 7.009 0.033
-3.493 -3.470 4.964
! - Symmetry: C2 (5)
! - ΔE_f (raw): -1.9069 eV per atom
! - Calculated density: 5.33 Mg/m³

Entry 4:
! Sm4CoSb2, optimized geometry, DFT GGA-PBE; values from VASP
&SYSTEM
  ibrav = 0, nat = 7, ntyp = 3
/
ATOMIC_SPECIES
Sm 150.36 Sm.upf
Co 58.93 Co.upf
Sb 121.76 Sb.upf
ATOMIC_POSITIONS crystal
Sm 0.888 0.188 0.776
Sm 0.112 0.812 0.224
Sm 0.615 0.250 0.230
Sm 0.385 0.750 0.770
Co 0.000 0.000 0.000
Sb 0.730 0.729 0.460
Sb 0.270 0.271 0.540
CELL_PARAMETERS angstrom
4.318 0.000 0.000
0.000 7.503 -0.058
-2.159 -3.716 6.836
! - Symmetry: C2/m (12)
! - ΔE_f (raw): -0.5035 eV per atom
! - Calculated density: 6.81 Mg/m³

Entry 5:
! Ca2IrOs, optimized geometry, DFT GGA-PBE; values from VASP
&SYSTEM
  ibrav = 0, nat = 4, ntyp = 3
/
ATOMIC_SPECIES
Ca 40.08 Ca.upf
Ir 192.22 Ir.upf
Os 190.23 Os.upf
ATOMIC_POSITIONS crystal
Ca 0.250 0.250 0.250
Ca 0.750 0.750 0.750
Ir 0.500 0.500 0.500
Os 0.000 0.000 0.000
CELL_PARAMETERS angstrom
1.663 -2.891 3.493
0.439 1.669 4.510
-2.983 -1.572 3.457
! - Energy relative to the elements: 0.50 eV per atom
! - E above lowest polymorph: 505 meV per atom
! - Symmetry: Fm-3m (225)
! - Calculated density: 9.65 Mg/m³

Entry 6:
! TcHgAs4, optimized geometry, DFT GGA-PBE; values from VASP
&SYSTEM
  ibrav = 0, nat = 6, ntyp = 3
/
ATOMIC_SPECIES
Tc 98.00 Tc.upf
Hg 200.59 Hg.upf
As 74.92 As.upf
ATOMIC_POSITIONS crystal
Tc 0.000 0.000 0.000
Hg 0.750 0.750 0.750
As 0.873 0.376 0.376
As 0.376 0.376 0.873
As 0.376 0.873 0.376
As 0.376 0.376 0.376
CELL_PARAMETERS angstrom
0.000 3.935 3.935
3.935 0.000 3.935
3.935 3.935 0.000
! - Energy relative to the elements: 0.79 eV per atom
! - Symmetry: F-43m (216)
! - Calculated density: 8.15 Mg/m³

Entry 7:
! SrCaCo2, optimized geometry, DFT GGA-PBE; values from VASP
&SYSTEM
  ibrav = 0, nat = 4, ntyp = 3
/
ATOMIC_SPECIES
Sr 87.62 Sr.upf
Ca 40.08 Ca.upf
Co 58.93 Co.upf
ATOMIC_POSITIONS crystal
Sr 0.500 0.500 0.500
Ca 0.000 0.000 0.000
Co 0.250 0.250 0.250
Co 0.750 0.750 0.750
CELL_PARAMETERS angstrom
4.522 -2.182 0.301
2.908 0.784 4.028
0.784 -3.716 3.297
! - Energy relative to the elements: 0.61 eV per atom
! - E above lowest polymorph: 405 meV per atom
! - Symmetry: Fm-3m (225)
! - Calculated density: 4.53 Mg/m³

Entry 8:
! ScMnCr, optimized geometry, DFT GGA-PBE; values from VASP
&SYSTEM
  ibrav = 0, nat = 12, ntyp = 3
/
ATOMIC_SPECIES
Sc 44.96 Sc.upf
Mn 54.94 Mn.upf
Cr 52.00 Cr.upf
ATOMIC_POSITIONS crystal
Sc 0.667 0.333 0.691
Sc 0.333 0.667 0.815
Sc 0.333 0.667 0.185
Sc 0.667 0.333 0.309
Mn 0.171 0.829 0.500
Mn 0.341 0.171 0.000
Mn 0.829 0.659 0.000
Mn 0.828 0.172 0.000
Cr 0.001 0.999 0.244
Cr 0.001 0.999 0.756
Cr 0.662 0.832 0.500
Cr 0.168 0.338 0.500
CELL_PARAMETERS angstrom
-4.320 -0.028 -2.497
1.225 -3.873 2.898
-3.610 3.500 6.206
! - Energy relative to the elements: -0.03 eV per atom
! - E above lowest polymorph: 4 meV per atom
! - Symmetry: Amm2 (38)
! - Calculated density: 5.85 Mg/m³

Entry 9:
! NdSc2S, optimized geometry, DFT GGA-PBE; values from VASP
&SYSTEM
  ibrav = 0, nat = 4, ntyp = 3
/
ATOMIC_SPECIES
Sc 44.96 Sc.upf
S 32.06 S.upf
Nd 144.24 Nd.upf
ATOMIC_POSITIONS crystal
Sc 0.115 0.115 0.656
Sc 0.885 0.885 0.344
S 0.500 0.500 0.500
Nd 0.000 0.000 0.000
CELL_PARAMETERS angstrom
3.499 0.000 0.000
1.750 3.030 0.000
1.750 1.010 9.554
! - E above lowest polymorph: 155 meV per atom
! - Symmetry: R-3m (166)
! - ΔE_f (raw): -0.7358 eV per atom
! - Calculated density: 4.36 Mg/m³

Entry 10:
! NaZn2Pb, optimized geometry, DFT GGA-PBE; values from VASP
&SYSTEM
  ibrav = 0, nat = 4, ntyp = 3
/
ATOMIC_SPECIES
Pb 207.20 Pb.upf
Na 22.99 Na.upf
Zn 65.41 Zn.upf
ATOMIC_POSITIONS crystal
Pb 0.500 0.000 0.000
Na 0.500 0.500 0.500
Zn 0.000 0.000 0.500
Zn 0.000 0.500 0.000
CELL_PARAMETERS angstrom
-1.255 1.235 -3.911
-4.186 0.763 1.584
1.152 4.280 0.982
! - Energy relative to the elements: 0.09 eV per atom
! - Symmetry: P4/mmm (123)
! - Calculated density: 6.78 Mg/m³

Entry 11:
! ReAs2Br, optimized geometry, DFT GGA-PBE; values from VASP
&SYSTEM
  ibrav = 0, nat = 4, ntyp = 3
/
ATOMIC_SPECIES
Re 186.21 Re.upf
As 74.92 As.upf
Br 79.90 Br.upf
ATOMIC_POSITIONS crystal
Re 0.750 0.250 0.500
As 0.000 0.000 0.000
As 0.500 0.500 0.000
Br 0.250 0.750 0.500
CELL_PARAMETERS angstrom
4.878 0.003 0.000
1.127 4.746 0.000
-3.003 -2.375 3.023
! - E above lowest polymorph: 750 meV per atom
! - Symmetry: I4/mmm (139)
! - ΔE_f (raw): 0.8961 eV per atom
! - Calculated density: 9.87 Mg/m³

Entry 12:
! Li2PmAg2Hg2, optimized geometry, DFT GGA-PBE; values from VASP
&SYSTEM
  ibrav = 0, nat = 7, ntyp = 4
/
ATOMIC_SPECIES
Li 6.94 Li.upf
Pm 145.00 Pm.upf
Ag 107.87 Ag.upf
Hg 200.59 Hg.upf
ATOMIC_POSITIONS crystal
Li 0.145 0.145 0.566
Li 0.855 0.855 0.434
Pm 0.000 0.000 0.000
Ag 0.565 0.565 0.304
Ag 0.435 0.435 0.696
Hg 0.736 0.736 0.792
Hg 0.264 0.264 0.208
CELL_PARAMETERS angstrom
4.780 0.000 0.000
2.390 4.140 0.000
2.390 1.380 7.488
! - Energy relative to the elements: -0.27 eV per atom
! - Symmetry: R-3m (166)
! - Calculated density: 8.69 Mg/m³

Entry 13:
! Ti2AgW, optimized geometry, DFT GGA-PBE; values from VASP
&SYSTEM
  ibrav = 0, nat = 8, ntyp = 3
/
ATOMIC_SPECIES
Ag 107.87 Ag.upf
W 183.84 W.upf
Ti 47.87 Ti.upf
ATOMIC_POSITIONS crystal
Ag 0.500 0.500 0.000
Ag 0.250 0.750 0.500
W 0.000 0.000 0.000
W 0.750 0.250 0.500
Ti 0.640 0.125 0.250
Ti 0.110 0.625 0.250
Ti 0.375 0.360 0.750
Ti 0.875 0.890 0.750
CELL_PARAMETERS angstrom
-1.577 0.403 3.588
-3.525 -1.019 -1.435
-0.712 -9.215 2.886
! - Energy relative to the elements: 0.80 eV per atom
! - E above lowest polymorph: 820 meV per atom
! - Symmetry: I-42d (122)
! - Calculated density: 8.94 Mg/m³

Entry 14:
! Pm4HoBi2, optimized geometry, DFT GGA-PBE; values from VASP
&SYSTEM
  ibrav = 0, nat = 7, ntyp = 3
/
ATOMIC_SPECIES
Pm 145.00 Pm.upf
Ho 164.93 Ho.upf
Bi 208.98 Bi.upf
ATOMIC_POSITIONS crystal
Pm 0.818 0.818 0.636
Pm 0.182 0.182 0.364
Pm 0.000 0.500 0.000
Pm 0.500 0.000 0.000
Ho 0.000 0.000 0.000
Bi 0.634 0.634 0.269
Bi 0.366 0.366 0.731
CELL_PARAMETERS angstrom
5.435 0.000 0.000
0.000 5.435 0.000
-2.718 -2.718 8.588
! - Energy relative to the elements: 0.17 eV per atom
! - Symmetry: I4/mmm (139)
! - Calculated density: 7.61 Mg/m³

Entry 15:
! TaNbFe2Si, optimized geometry, DFT GGA-PBE; values from VASP
&SYSTEM
  ibrav = 0, nat = 5, ntyp = 4
/
ATOMIC_SPECIES
Nb 92.91 Nb.upf
Si 28.09 Si.upf
Fe 55.84 Fe.upf
Ta 180.95 Ta.upf
ATOMIC_POSITIONS crystal
Nb 0.000 0.000 0.000
Si 0.500 0.500 0.500
Fe 0.000 0.000 0.500
Fe 0.500 0.000 0.000
Ta 0.000 0.500 0.000
CELL_PARAMETERS angstrom
4.428 0.000 0.000
0.000 5.044 0.000
0.000 0.000 4.428
! - Symmetry: P4/mmm (123)
! - ΔE_f (raw): 1.6707 eV per atom
! - Calculated density: 6.95 Mg/m³

Entry 16:
! Ac6Os2I, optimized geometry, DFT GGA-PBE; values from VASP
&SYSTEM
  ibrav = 0, nat = 9, ntyp = 3
/
ATOMIC_SPECIES
Ac 227.00 Ac.upf
Os 190.23 Os.upf
I 126.90 I.upf
ATOMIC_POSITIONS crystal
Ac 0.034 0.068 0.789
Ac 0.672 0.344 0.082
Ac 0.328 0.656 0.918
Ac 0.710 0.419 0.630
Ac 0.290 0.581 0.370
Ac 0.966 0.932 0.211
Os 0.676 0.352 0.838
Os 0.324 0.648 0.162
I 0.000 0.000 0.500
CELL_PARAMETERS angstrom
-0.924 0.867 4.220
-6.313 -0.516 -3.577
2.950 -11.877 3.087
! - Symmetry: C2/m (12)
! - ΔE_f (raw): -0.2158 eV per atom
! - Calculated density: 8.36 Mg/m³

Entry 17:
! Ag5PS4F2, optimized geometry, DFT GGA-PBE; values from VASP
&SYSTEM
  ibrav = 0, nat = 12, ntyp = 4
/
ATOMIC_SPECIES
Ag 107.87 Ag.upf
P 30.97 P.upf
S 32.06 S.upf
F 19.00 F.upf
ATOMIC_POSITIONS crystal
Ag 0.072 0.397 0.241
Ag 0.366 0.000 0.500
Ag 0.072 0.397 0.759
Ag 0.675 0.603 0.759
Ag 0.675 0.603 0.241
P 0.471 0.000 0.000
S 0.662 0.000 0.242
S 0.662 0.000 0.758
S 0.410 0.299 0.000
S 0.112 0.701 0.000
F 0.945 0.660 0.500
F 0.285 0.340 0.500
CELL_PARAMETERS angstrom
-5.211 2.821 -0.710
3.019 -2.037 -5.167
-3.449 -6.259 0.452
! - Symmetry: Amm2 (38)
! - ΔE_f (raw): -0.4660 eV per atom
! - Calculated density: 5.14 Mg/m³

Entry 18:
! TlGaBiS3, optimized geometry, DFT GGA-PBE; values from VASP
&SYSTEM
  ibrav = 0, nat = 12, ntyp = 4
/
ATOMIC_SPECIES
Tl 204.38 Tl.upf
Ga 69.72 Ga.upf
Bi 208.98 Bi.upf
S 32.06 S.upf
ATOMIC_POSITIONS crystal
Tl 0.250 0.170 0.205
Tl 0.750 0.830 0.795
Ga 0.250 0.108 0.587
Ga 0.750 0.892 0.413
Bi 0.250 0.647 0.148
Bi 0.750 0.353 0.852
S 0.750 0.864 0.155
S 0.250 0.136 0.845
S 0.250 0.822 0.489
S 0.750 0.178 0.511
S 0.750 0.419 0.140
S 0.250 0.581 0.860
CELL_PARAMETERS angstrom
4.445 0.000 0.000
0.000 8.548 0.349
0.000 -1.918 9.026
! - Symmetry: P2_1/m (11)
! - ΔE_f (raw): -0.3773 eV per atom
! - Calculated density: 5.56 Mg/m³

Entry 19:
! LaPm3Er7, optimized geometry, DFT GGA-PBE; values from VASP
&SYSTEM
  ibrav = 0, nat = 11, ntyp = 3
/
ATOMIC_SPECIES
La 138.91 La.upf
Pm 145.00 Pm.upf
Er 167.26 Er.upf
ATOMIC_POSITIONS crystal
La 0.500 0.500 0.500
Pm 0.282 0.998 0.783
Pm 0.000 0.500 0.000
Pm 0.718 0.002 0.217
Er 0.921 0.831 0.921
Er 0.856 0.712 0.356
Er 0.676 0.359 0.176
Er 0.324 0.641 0.824
Er 0.500 0.000 0.500
Er 0.144 0.288 0.644
Er 0.079 0.169 0.079
CELL_PARAMETERS angstrom
4.694 -0.102 -2.926
-1.039 9.720 -1.999
-1.038 -0.713 8.813
! - Energy relative to the elements: 0.15 eV per atom
! - E above lowest polymorph: 0 meV per atom
! - Symmetry: P2/m (10)
! - Calculated density: 7.99 Mg/m³

Entry 20:
! TlB2PdS, optimized geometry, DFT GGA-PBE; values from VASP
&SYSTEM
  ibrav = 0, nat = 5, ntyp = 4
/
ATOMIC_SPECIES
Tl 204.38 Tl.upf
B 10.81 B.upf
S 32.06 S.upf
Pd 106.42 Pd.upf
ATOMIC_POSITIONS crystal
Tl 0.500 0.500 0.500
B 0.000 0.000 0.500
B 0.500 0.000 0.000
S 0.000 0.500 0.000
Pd 0.000 0.000 0.000
CELL_PARAMETERS angstrom
-2.484 0.656 -3.231
2.421 -4.021 -2.677
-2.729 -2.678 1.555
! - Symmetry: P4/mmm (123)
! - ΔE_f (raw): 0.8662 eV per atom
! - Calculated density: 6.57 Mg/m³

Entry 21:
! Pr2Er3Pb2, optimized geometry, DFT GGA-PBE; values from VASP
&SYSTEM
  ibrav = 0, nat = 7, ntyp = 3
/
ATOMIC_SPECIES
Pr 140.91 Pr.upf
Er 167.26 Er.upf
Pb 207.20 Pb.upf
ATOMIC_POSITIONS crystal
Pr 0.864 0.727 0.207
Pr 0.136 0.273 0.793
Er 0.500 0.000 0.000
Er 0.620 0.240 0.442
Er 0.380 0.760 0.558
Pb 0.832 0.665 0.790
Pb 0.168 0.335 0.210
CELL_PARAMETERS angstrom
-3.267 0.952 -2.923
-0.481 -6.288 1.933
-3.714 5.242 5.858
! - Energy relative to the elements: -0.32 eV per atom
! - Symmetry: C2/m (12)
! - Calculated density: 8.84 Mg/m³

Entry 22:
! Nb2Ge2H, optimized geometry, DFT GGA-PBE; values from VASP
&SYSTEM
  ibrav = 0, nat = 5, ntyp = 3
/
ATOMIC_SPECIES
H 1.01 H.upf
Nb 92.91 Nb.upf
Ge 72.64 Ge.upf
ATOMIC_POSITIONS crystal
H 0.000 0.000 0.000
Nb 0.404 0.404 0.191
Nb 0.596 0.596 0.809
Ge 0.750 0.250 0.500
Ge 0.250 0.750 0.500
CELL_PARAMETERS angstrom
-1.600 -3.106 0.673
-0.031 -0.738 -3.480
5.077 -4.835 -0.838
! - E above lowest polymorph: 660 meV per atom
! - Symmetry: I4/mmm (139)
! - Calculated density: 6.60 Mg/m³

Entry 23:
! Er4TlCd2Ga, optimized geometry, DFT GGA-PBE; values from VASP
&SYSTEM
  ibrav = 0, nat = 8, ntyp = 4
/
ATOMIC_SPECIES
Er 167.26 Er.upf
Tl 204.38 Tl.upf
Cd 112.41 Cd.upf
Ga 69.72 Ga.upf
ATOMIC_POSITIONS crystal
Er 0.379 0.379 0.862
Er 0.871 0.871 0.387
Er 0.129 0.129 0.613
Er 0.621 0.621 0.138
Tl 0.000 0.000 0.000
Cd 0.749 0.749 0.754
Cd 0.251 0.251 0.246
Ga 0.500 0.500 0.500
CELL_PARAMETERS angstrom
5.205 0.000 0.000
2.603 4.508 0.000
2.603 1.503 8.507
! - Energy relative to the elements: -0.38 eV per atom
! - Symmetry: R-3m (166)
! - Calculated density: 9.72 Mg/m³

Entry 24:
! UIrRuRh, optimized geometry, DFT GGA-PBE; values from VASP
&SYSTEM
  ibrav = 0, nat = 4, ntyp = 4
/
ATOMIC_SPECIES
U 238.03 U.upf
Ir 192.22 Ir.upf
Ru 101.07 Ru.upf
Rh 102.91 Rh.upf
ATOMIC_POSITIONS crystal
U 0.500 0.500 0.000
Ir 0.500 0.000 0.500
Ru 0.000 0.500 0.500
Rh 0.000 0.000 0.000
CELL_PARAMETERS angstrom
3.991 0.000 0.000
0.000 4.098 0.000
0.000 0.000 3.975
! - Energy relative to the elements: -0.58 eV per atom
! - Symmetry: Pmmm (47)
! - Calculated density: 16.20 Mg/m³

Entry 25:
! Tm2MgCo, optimized geometry, DFT GGA-PBE; values from VASP
&SYSTEM
  ibrav = 0, nat = 4, ntyp = 3
/
ATOMIC_SPECIES
Mg 24.30 Mg.upf
Tm 168.93 Tm.upf
Co 58.93 Co.upf
ATOMIC_POSITIONS crystal
Mg 0.500 0.500 0.500
Tm 0.000 0.000 0.800
Tm 0.000 0.000 0.200
Co 0.500 0.500 0.000
CELL_PARAMETERS angstrom
-2.715 -0.894 1.732
1.925 -1.697 2.142
0.737 6.570 4.545
! - Energy relative to the elements: -0.18 eV per atom
! - E above lowest polymorph: 0 meV per atom
! - Symmetry: P4/mmm (123)
! - Calculated density: 7.80 Mg/m³

Entry 26:
! TaTl2GaP, optimized geometry, DFT GGA-PBE; values from VASP
&SYSTEM
  ibrav = 0, nat = 5, ntyp = 4
/
ATOMIC_SPECIES
P 30.97 P.upf
Tl 204.38 Tl.upf
Ga 69.72 Ga.upf
Ta 180.95 Ta.upf
ATOMIC_POSITIONS crystal
P 0.000 0.000 0.000
Tl 0.000 0.000 0.500
Tl 0.500 0.000 0.000
Ga 0.000 0.500 0.000
Ta 0.500 0.500 0.500
CELL_PARAMETERS angstrom
-3.535 0.328 -3.978
-3.189 -1.854 2.681
-1.424 4.860 1.666
! - Energy relative to the elements: 1.22 eV per atom
! - Symmetry: P4/mmm (123)
! - Calculated density: 8.84 Mg/m³